# 1
Below is Y4Pd7Au after structural relaxation, with properties calculated at the PBE level.

a b c (Å): 5.493 5.611 8.217
angles (deg): 87.68 77.55 76.31
Sites, in units of the cell vectors:
Y 0.047 0.345 0.205
Y 0.387 0.744 0.353
Y 0.613 0.256 0.647
Y 0.953 0.655 0.795
Pd 0.019 0.838 0.126
Pd 0.155 0.251 0.541
Pd 0.413 0.809 0.716
Pd 0.500 0.500 0.000
Pd 0.587 0.191 0.284
Pd 0.845 0.749 0.459
Pd 0.981 0.162 0.874
Au 0.500 0.000 0.000

## Properties
Symmetry: P-1
Relative energy among the computed polymorphs: 0.0000 eV/atom
Formation energy: -800 meV/atom

=====

# 2
Below is YCr2Ag after structural relaxation, with properties calculated at the PBE level.

a b c (Å): 4.816 4.816 4.816
angles (deg): 60.00 60.00 60.00
Sites, in units of the cell vectors:
Y 0.000 0.000 0.000
Cr 0.250 0.250 0.250
Cr 0.750 0.750 0.750
Ag 0.500 0.500 0.500

## Properties
Symmetry: Fm-3m
Relative energy among the computed polymorphs: 0.2861 eV/atom
Formation energy: 529 meV/atom

=====

# 3
Below is Sr3LiAu2O6 after structural relaxation, with properties calculated at the PBE level.

a b c (Å): 5.700 5.700 6.542
angles (deg): 90.00 90.00 120.00
Sites, in units of the cell vectors:
Sr 0.000 0.000 0.000
Sr 0.333 0.667 0.616
Sr 0.667 0.333 0.384
Li 0.000 0.000 0.500
Au 0.333 0.667 0.115
Au 0.667 0.333 0.885
O 0.163 0.325 0.304
O 0.163 0.837 0.304
O 0.325 0.163 0.696
O 0.675 0.837 0.304
O 0.837 0.163 0.696
O 0.837 0.675 0.696

## Properties
Symmetry: P-3m1
Formation energy from raw total energies: -1.28 eV/atom

=====

# 4
Below is Ca2Sb2Pt after structural relaxation, with properties calculated at the PBE level.

a b c (Å): 7.366 7.366 4.734
angles (deg): 90.00 90.00 90.00
Sites, in units of the cell vectors:
Ca 0.165 0.335 0.000
Ca 0.335 0.835 0.000
Ca 0.665 0.165 0.000
Ca 0.835 0.665 0.000
Sb 0.150 0.650 0.500
Sb 0.350 0.150 0.500
Sb 0.650 0.850 0.500
Sb 0.850 0.350 0.500
Pt 0.000 0.000 0.500
Pt 0.500 0.500 0.500

## Properties
Symmetry: P4/mbm
Relative energy among the computed polymorphs: 0.1417 eV/atom
Formation energy from raw total energies: -0.76 eV/atom

=====

# 5
Below is Ge3SbAs after structural relaxation, with properties calculated at the PBE level.

a b c (Å): 5.310 5.310 5.310
angles (deg): 90.00 90.00 90.00
Sites, in units of the cell vectors:
Ge 0.000 0.000 0.500
Ge 0.000 0.500 0.000
Ge 0.500 0.000 0.000
Sb 0.000 0.000 0.000
As 0.500 0.500 0.500

## Properties
Symmetry: Pm-3m
Relative energy among the computed polymorphs: 0.4363 eV/atom
Formation energy from raw total energies: 1.05 eV/atom

=====

# 6
Below is CaTb2Pr after structural relaxation, with properties calculated at the PBE level.

a b c (Å): 5.134 5.134 5.241
angles (deg): 90.00 90.00 90.00
Sites, in units of the cell vectors:
Ca 0.000 0.000 0.000
Tb 0.000 0.500 0.500
Tb 0.500 0.000 0.500
Pr 0.500 0.500 0.000

## Properties
Symmetry: P4/mmm
Relative energy among the computed polymorphs: 0.0461 eV/atom
Formation energy: 106 meV/atom

=====

# 7
Below is Ba2CoTe after structural relaxation, with properties calculated at the PBE level.

a b c (Å): 5.639 5.639 5.639
angles (deg): 60.00 60.00 60.00
Sites, in units of the cell vectors:
Ba 0.000 0.000 0.000
Ba 0.250 0.250 0.250
Co 0.500 0.500 0.500
Te 0.750 0.750 0.750

## Properties
Symmetry: F-43m
Formation energy from raw total energies: 0.11 eV/atom

=====

# 8
Below is Sm3DyY6 after structural relaxation, with properties calculated at the PBE level.

a b c (Å): 11.643 11.643 6.433
angles (deg): 90.00 90.00 131.03
Sites, in units of the cell vectors:
Sm 0.079 0.921 0.500
Sm 0.203 0.461 0.107
Sm 0.461 0.203 0.607
Sm 0.539 0.797 0.107
Sm 0.797 0.539 0.607
Sm 0.921 0.079 0.000
Dy 0.340 0.660 0.579
Dy 0.660 0.340 0.079
Y 0.043 0.605 0.266
Y 0.121 0.244 0.526
Y 0.198 0.802 0.800
Y 0.244 0.121 0.026
Y 0.395 0.957 0.266
Y 0.487 0.513 0.780
Y 0.513 0.487 0.280
Y 0.605 0.043 0.766
Y 0.756 0.879 0.526
Y 0.802 0.198 0.300
Y 0.879 0.756 0.026
Y 0.957 0.395 0.766

## Properties
Symmetry: Cmc2_1
Relative energy among the computed polymorphs: 0.0000 eV/atom
Formation energy: 110 meV/atom